(1)
A plane-wave DFT calculation with PBE was carried out for BaGa2Pb2 after structural relaxation.

a b c (Å): 5.225 5.225 10.904
angles (deg): 90.00 90.00 90.00
Space group I4/mmm (No. 139)
Asymmetric unit:
Ba: 0.000 0.000 0.000 (multiplicity 2)
Ga: 0.000 0.000 0.383 (multiplicity 4)
Pb: 0.000 0.500 0.250 (multiplicity 4)

Summary:
The formation energy comes out at -0.306 eV/atom. The calculated total energy comes out at -3.385 eV per atom. Its excess energy over the best structure of this formula in the dataset is 0.0 meV/atom. The calculation puts the magnetic moment at 0.000 μB/cell.

***

(2)
A plane-wave DFT calculation with PBE was carried out for Zn2AsPb after structural relaxation.

a b c (Å): 3.2226 3.2226 28.6488
angles (deg): 90.00 90.00 120.00
Space group R3m (No. 160, hexagonal axes)
Asymmetric unit:
Zn: 0.0000 0.0000 0.0000 (multiplicity 3)
Zn: 0.0000 0.0000 0.2665 (multiplicity 3)
As: 0.0000 0.0000 0.5321 (multiplicity 3)
Pb: 0.0000 0.0000 0.7579 (multiplicity 3)

Summary:
The formation energy comes out at 0.212 eV/atom. The calculated total energy comes out at -2.514 eV per atom. The calculation puts the magnetic moment at 0.000 μB/cell.

***

(3)
A plane-wave DFT calculation with PBE was carried out for Cd6SnPd12 after structural relaxation.

a b c (Å): 11.0887 11.0887 9.5615
angles (deg): 90.00 90.00 120.00
Space group R-3m (No. 166, hexagonal axes)
Asymmetric unit:
Cd: 0.0893 0.1786 0.2367 (multiplicity 18)
Sn: 0.0000 0.0000 0.5000 (multiplicity 3)
Pd: 0.0000 0.2546 0.5000 (multiplicity 18)
Pd: 0.0612 0.5306 0.6216 (multiplicity 18)

Summary:
The formation energy comes out at -0.181 eV/atom. The calculated total energy comes out at -3.960 eV per atom. The calculation puts the magnetic moment at 0.000 μB/cell.

***

(4)
A plane-wave DFT calculation with PBE was carried out for CaAgPd after structural relaxation.

a b c (Å): 5.544 5.696 7.866
angles (deg): 90.00 90.00 90.00
Space group Imma (No. 74)
Asymmetric unit:
Ca: 0.000 0.250 0.128 (multiplicity 4)
Ag: 0.250 0.250 0.750 (multiplicity 4)
Pd: 0.000 0.000 0.500 (multiplicity 4)

Summary:
The formation energy comes out at -0.512 eV/atom. The calculated total energy comes out at -3.861 eV per atom. Its excess energy over the best structure of this formula in the dataset is 0.0 meV/atom. The calculation puts the magnetic moment at 0.000 μB/cell.